(1)
Below is a geometry-optimized SbPIr structure, with properties calculated at the PBE level.

Cell lengths 6.089, 6.089, 6.089 Å; angles 90.00, 90.00, 90.00 degrees
Element x y z (fractional)
Ir 0.467 0.967 0.533
Ir 0.967 0.533 0.467
Ir 0.033 0.033 0.033
Ir 0.533 0.467 0.967
P 0.617 0.617 0.617
P 0.117 0.883 0.383
P 0.383 0.117 0.883
P 0.883 0.383 0.117
Sb 0.629 0.871 0.129
Sb 0.871 0.129 0.629
Sb 0.129 0.629 0.871
Sb 0.371 0.371 0.371

Summary:
**Space-group type**: P2_13
**Formation energy from raw total energies**: -0.372 eV per atom

(2)
Below is a geometry-optimized SmHgBiPb structure, with properties calculated at the PBE level.

Cell lengths 5.511, 5.511, 5.511 Å; angles 60.00, 60.00, 60.00 degrees
Element x y z (fractional)
Hg 0.500 0.500 0.500
Sm 0.750 0.750 0.750
Pb 0.250 0.250 0.250
Bi 0.000 0.000 0.000

Summary:
**DFT total energy**: -3.438 eV per atom
**Space-group type**: F-43m

(3)
Below is a geometry-optimized ReSbW3 structure, with properties calculated at the PBE level.

Cell lengths 4.762, 4.762, 4.762 Å; angles 90.00, 90.00, 90.00 degrees
Element x y z (fractional)
Sb 0.000 0.000 0.000
W 0.000 0.500 0.000
W 0.500 0.000 0.000
W 0.000 0.000 0.500
Re 0.500 0.500 0.500

Summary:
**Space-group type**: Pm-3m
**Formation energy from raw total energies**: 2.980 eV per atom

(4)
Below is a geometry-optimized TaBAs2Br structure, with properties calculated at the PBE level.

Cell lengths 4.993, 4.993, 5.237 Å; angles 90.00, 90.00, 90.00 degrees
Element x y z (fractional)
As 0.500 0.000 0.000
As 0.000 0.500 0.000
B 0.500 0.500 0.500
Br 0.000 0.000 0.500
Ta 0.000 0.000 0.000

Summary:
**Space-group type**: P4/mmm
**Formation energy from raw total energies**: 1.094 eV per atom

(5)
Below is a geometry-optimized PaPd8Au2 structure, with properties calculated at the PBE level.

Cell lengths 4.153, 6.315, 8.573 Å; angles 121.40, 104.02, 90.00 degrees
Element x y z (fractional)
Pd 0.865 0.911 0.730
Pd 0.679 0.448 0.359
Pd 0.955 0.637 0.910
Pd 0.135 0.089 0.270
Pd 0.411 0.269 0.821
Pd 0.321 0.552 0.641
Pd 0.589 0.731 0.179
Pd 0.045 0.363 0.090
Au 0.226 0.813 0.452
Au 0.774 0.187 0.548
Pa 0.500 0.000 0.000

Summary:
**DFT total energy**: -5.677 eV per atom
**Space-group type**: C2/m

(6)
Below is a geometry-optimized ZrNbCu2 structure, with properties calculated at the PBE level.

Cell lengths 3.184, 4.541, 4.541 Å; angles 90.00, 90.00, 90.00 degrees
Element x y z (fractional)
Nb 0.500 0.000 0.000
Cu 0.000 0.000 0.500
Cu 0.000 0.500 0.000
Zr 0.500 0.500 0.500

Summary:
**DFT total energy**: -6.657 eV per atom
**Space-group type**: P4/mmm

(7)
Below is a geometry-optimized Ba4Cu3Si20 structure, with properties calculated at the PBE level.

Cell lengths 10.379, 10.379, 10.379 Å; angles 90.00, 90.00, 90.00 degrees
Element x y z (fractional)
Si 0.119 0.311 0.000
Si 0.316 0.684 0.316
Si 0.816 0.184 0.184
Si 0.811 0.381 0.500
Si 0.184 0.816 0.184
Si 0.184 0.184 0.184
Si 0.881 0.689 0.000
Si 0.189 0.619 0.500
Si 0.184 0.184 0.816
Si 0.619 0.500 0.811
Si 0.381 0.500 0.811
Si 0.689 0.000 0.119
Si 0.316 0.316 0.316
Si 0.000 0.119 0.311
Si 0.000 0.119 0.689
Si 0.816 0.184 0.816
Si 0.000 0.881 0.689
Si 0.689 0.000 0.881
Si 0.500 0.189 0.619
Si 0.816 0.816 0.184
Si 0.619 0.500 0.189
Si 0.184 0.816 0.816
Si 0.316 0.316 0.684
Si 0.500 0.189 0.381
Si 0.311 0.000 0.881
Si 0.684 0.684 0.316
Si 0.500 0.811 0.619
Si 0.881 0.311 0.000
Si 0.811 0.619 0.500
Si 0.189 0.381 0.500
Si 0.684 0.316 0.316
Si 0.684 0.316 0.684
Si 0.816 0.816 0.816
Si 0.684 0.684 0.684
Si 0.000 0.881 0.311
Si 0.316 0.684 0.684
Si 0.381 0.500 0.189
Si 0.500 0.811 0.381
Si 0.119 0.689 0.000
Si 0.311 0.000 0.119
Ba 0.500 0.250 0.000
Ba 0.000 0.000 0.000
Ba 0.250 0.000 0.500
Ba 0.750 0.000 0.500
Ba 0.500 0.500 0.500
Ba 0.000 0.500 0.750
Ba 0.000 0.500 0.250
Ba 0.500 0.750 0.000
Cu 0.250 0.500 0.000
Cu 0.000 0.250 0.500
Cu 0.750 0.500 0.000
Cu 0.500 0.000 0.750
Cu 0.500 0.000 0.250
Cu 0.000 0.750 0.500

Summary:
**Space-group type**: Pm-3n
**Formation energy from raw total energies**: -0.213 eV per atom

(8)
Below is a geometry-optimized HgSIN2 structure, with properties calculated at the PBE level.

Cell lengths 3.930, 3.930, 7.530 Å; angles 90.00, 90.00, 90.00 degrees
Site moments in Bohr magnetons follow the coordinates.
Element x y z (fractional)
I 0.000 0.000 0.500  0.00
Hg 0.500 0.500 0.500  0.00
S 0.000 0.000 0.000  0.04
N 0.500 0.000 0.000  0.63
N 0.000 0.500 0.000  0.63

Summary:
**Space-group type**: P4/mmm
**Formation energy from raw total energies**: 1.652 eV per atom

(9)
Below is a geometry-optimized BaNa2CdBi2 structure, with properties calculated at the PBE level.

Cell lengths 5.029, 8.625, 9.403 Å; angles 90.00, 90.00, 90.00 degrees
Element x y z (fractional)
Na 0.500 0.037 0.069
Na 0.500 0.537 0.931
Na 0.000 0.362 0.168
Na 0.000 0.862 0.832
Bi 0.000 0.231 0.853
Bi 0.500 0.779 0.631
Bi 0.000 0.731 0.147
Bi 0.500 0.279 0.369
Cd 0.500 0.647 0.312
Cd 0.500 0.147 0.688
Ba 0.000 0.990 0.437
Ba 0.000 0.490 0.563

Summary:
**DFT total energy**: -2.737 eV per atom
**Space-group type**: Pmc2_1

(10)
Below is a geometry-optimized RbTlAsPd2 structure, with properties calculated at the PBE level.

Cell lengths 4.697, 5.730, 9.626 Å; angles 85.42, 90.00, 90.00 degrees
Element x y z (fractional)
Tl 0.250 0.343 0.370
Tl 0.750 0.657 0.630
As 0.250 0.293 0.743
As 0.750 0.707 0.257
Pd 0.250 0.977 0.581
Pd 0.750 0.023 0.419
Pd 0.250 0.841 0.302
Pd 0.750 0.159 0.698
Rb 0.250 0.760 0.936
Rb 0.750 0.240 0.064

Summary:
**DFT total energy**: -3.913 eV per atom
**Space-group type**: P2_1/m

(11)
Below is a geometry-optimized Ce3Co4Ir4 structure, with properties calculated at the PBE level.

Cell lengths 6.338, 6.338, 6.338 Å; angles 109.47, 109.47, 109.47 degrees
Site moments in Bohr magnetons follow the coordinates.
Element x y z (fractional)
Ce 0.500 0.500 0.000  -0.07
Ce 0.000 0.500 0.500  -0.07
Ce 0.500 0.000 0.500  -0.07
Ir 0.588 0.000 0.000  0.01
Ir 0.000 0.000 0.588  0.01
Ir 0.000 0.588 0.000  0.01
Ir 0.412 0.412 0.412  0.01
Co 0.226 0.000 0.000  0.02
Co 0.000 0.226 0.000  0.02
Co 0.774 0.774 0.774  0.02
Co 0.000 0.000 0.226  0.02

Summary:
**DFT total energy**: -7.667 eV per atom
**Space-group type**: I-43m

(12)
Below is a geometry-optimized TlCoSb2 structure, with properties calculated at the PBE level.

Cell lengths 9.223, 9.223, 9.223 Å; angles 21.61, 21.61, 21.61 degrees
Element x y z (fractional)
Co 0.744 0.744 0.744
Tl 0.483 0.483 0.483
Sb 0.251 0.251 0.251
Sb 0.022 0.022 0.022

Summary:
**Space-group type**: R3m
**Formation energy from raw total energies**: 0.280 eV per atom